! WO (PBE with a Hubbard U, optimized geometry); values from VASP
! Size of the total moment, μB/f.u.: 1.07
! Offset from the most stable computed form, meV/atom: 370
! Calculated total energy, eV/atom: -6.478
&SYSTEM
  ibrav = 0, nat = 32, ntyp = 2
/
ATOMIC_SPECIES
O 16.00 O.upf
W 183.84 W.upf
ATOMIC_POSITIONS crystal
O 0.7500 0.3573 0.7500
O 0.7500 0.1427 0.7500
O 0.2500 0.3573 0.2500
O 0.0000 0.6073 0.0000
O 0.2500 0.6427 0.7500
O 0.7500 0.8573 0.2500
O 0.7500 0.6427 0.2500
O 0.0000 0.3927 0.0000
O 0.2500 0.8573 0.7500
O 0.0000 0.8927 0.5000
O 0.0000 0.1073 0.5000
O 0.5000 0.6073 0.5000
O 0.5000 0.3927 0.5000
O 0.2500 0.1427 0.2500
O 0.5000 0.1073 0.0000
O 0.5000 0.8927 0.0000
W 0.7500 0.7500 0.4120
W 0.0000 0.5000 0.1620
W 0.7500 0.2500 0.5880
W 0.5000 0.0000 0.1620
W 0.7500 0.7500 0.0880
W 0.5000 0.0000 0.8380
W 0.5000 0.5000 0.3380
W 0.5000 0.5000 0.6620
W 0.2500 0.2500 0.4120
W 0.7500 0.2500 0.9120
W 0.0000 0.5000 0.8380
W 0.0000 0.0000 0.3380
W 0.2500 0.7500 0.5880
W 0.2500 0.7500 0.9120
W 0.0000 0.0000 0.6620
W 0.2500 0.2500 0.0880
CELL_PARAMETERS angstrom
3.7125 0.0000 0.0000
0.0000 12.6427 0.0000
0.0000 0.0000 10.2378